Record 1
Computed, not measured: AlNiSn after structural relaxation at the PBE level of DFT.

Computed properties:
* theoretical density: 6.5 Mg/m³
* uncorrected energy: -4.79 eV/atom
* calculated volume: 209.7 Å³ per cell

Cell: 5.941 5.941 5.941 Å, 90.00 90.00 90.00°
Space group F-43m (No. 216)
Asymmetric unit:
Al 0.000 0.000 0.000
Ni 0.250 0.250 0.250
Sn 0.000 0.000 0.500

Record 2
Computed, not measured: AlNiSn after structural relaxation at the PBE level of DFT.

Computed properties:
* theoretical density: 5.9 Mg/m³
* uncorrected energy: -4.24 eV/atom
* calculated volume: 231.7 Å³ per cell

Cell: 6.142 6.142 6.142 Å, 90.00 90.00 90.00°
Space group F-43m (No. 216)
Asymmetric unit:
Al 0.000 0.000 0.000
Ni 0.000 0.000 0.500
Sn 0.250 0.250 0.250

Record 3
Computed, not measured: SrAlNi after structural relaxation at the PBE level of DFT.

Computed properties:
* theoretical density: 4.0 Mg/m³
* uncorrected energy: -3.59 eV/atom
* calculated volume: 285.8 Å³ per cell

Cell: 6.587 6.587 6.587 Å, 90.00 90.00 90.00°
Space group F-43m (No. 216)
Asymmetric unit:
Sr 0.000 0.000 0.000
Al 0.000 0.000 0.500
Ni 0.250 0.250 0.750